Record 1
Ho2Ga3Ni4Rh, relaxed, DFT PBE; total magnetic moment = 0.00 μB per cell; E = -5.419 eV/atom; calculated formation energy = -548 meV per atom
1.0
3.8131 0.0000 0.0000
0.0000 3.8131 0.0000
0.0000 0.0000 11.0089
Ho Ga Ni Rh
2 3 4 1
Direct
0.0000 0.5000 0.2389
0.5000 0.0000 0.7611
0.0000 0.0000 0.0000
0.0000 0.5000 0.6316
0.5000 0.0000 0.3684
0.0000 0.0000 0.5000
0.0000 0.5000 0.8476
0.5000 0.0000 0.1524
0.5000 0.5000 0.5000
0.5000 0.5000 0.0000

---

Record 2
HoGa2NiRh, relaxed, DFT PBE; total magnetic moment = 0.00 μB per cell; E = -5.414 eV/atom; calculated formation energy = -662 meV per atom
1.0
-2.0290 2.0290 5.2072
2.0290 -2.0290 5.2072
2.0290 2.0290 -5.2072
Ho Ga Ni Rh
1 2 1 1
Direct
0.0000 0.0000 0.0000
0.3788 0.3788 0.0000
0.6212 0.6212 0.0000
0.2500 0.7500 0.5000
0.7500 0.2500 0.5000

---

Record 3
HoGa4Ni2Ru, relaxed, DFT PBE; total magnetic moment = 0.00 μB per cell; E = -5.133 eV/atom; calculated formation energy = -443 meV per atom
1.0
2.0493 1.1831 8.7600
-2.0493 1.1831 8.7600
0.0000 -2.3663 8.7600
Ho Ga Ni Ru
1 4 2 1
Direct
0.0000 0.0000 0.0000
0.1297 0.1297 0.1297
0.4011 0.4011 0.4011
0.5989 0.5989 0.5989
0.8703 0.8703 0.8703
0.2335 0.2335 0.2335
0.7665 0.7665 0.7665
0.5000 0.5000 0.5000

---

Record 4
HoGa2NiRu, relaxed, DFT PBE; total magnetic moment = 0.00 μB per cell; E = -5.634 eV/atom; calculated formation energy = -497 meV per atom
1.0
-2.0610 2.0610 5.0696
2.0610 -2.0610 5.0696
2.0610 2.0610 -5.0696
Ho Ga Ni Ru
1 2 1 1
Direct
0.0000 0.0000 0.0000
0.3756 0.3756 0.0000
0.6244 0.6244 0.0000
0.7500 0.2500 0.5000
0.2500 0.7500 0.5000